Record 1
Entry from Alexandria via LeMat-Bulk: an optimized crystal structure of Hf5Be (PBE-GGA).

Cell lengths 4.3118, 4.3570, 6.8115 Å; angles 108.65, 90.00, 90.00 degrees
Fractional coordinates of all 6 atoms:
Hf 0.0000 0.6626 0.3253
Hf 0.0000 0.3374 0.6747
Hf 0.5000 0.8390 0.6780
Hf 0.5000 0.1610 0.3220
Hf 0.5000 0.5000 0.0000
Be 0.0000 0.0000 0.0000

Results
For the formation energy, the calculation gives 99 meV per atom. The calculation puts the calculated volume at 121.2 Å³/cell. The value obtained for the density of states at the Fermi level is 4.46 states/eV/cell.

Record 2
Entry from Alexandria via LeMat-Bulk: an optimized crystal structure of HfBe (PBE-GGA).

Cell lengths 4.3498, 4.3498, 5.0161 Å; angles 90.00, 90.00, 120.00 degrees
Fractional coordinates of all 4 atoms:
Hf 0.3333 0.6667 0.7500
Hf 0.6667 0.3333 0.2500
Be 0.3333 0.6667 0.2500
Be 0.6667 0.3333 0.7500

Results
For the formation energy, the calculation gives 1055 meV per atom. The calculation puts the calculated volume at 82.2 Å³/cell. The value obtained for the density of states at the Fermi level is 6.09 states/eV/cell.

Record 3
Entry from Alexandria via LeMat-Bulk: an optimized crystal structure of HfBe (PBE-GGA).

Cell lengths 8.0298, 8.0298, 8.0298 Å; angles 90.00, 90.00, 90.00 degrees
Fractional coordinates of all 16 atoms:
Hf 0.3691 0.3691 0.3691
Hf 0.3691 0.6309 0.6309
Hf 0.6309 0.3691 0.6309
Hf 0.8691 0.1309 0.1309
Hf 0.6309 0.6309 0.3691
Hf 0.1309 0.8691 0.1309
Hf 0.8691 0.8691 0.8691
Hf 0.1309 0.1309 0.8691
Be 0.3226 0.3226 0.6774
Be 0.8226 0.1774 0.8226
Be 0.3226 0.6774 0.3226
Be 0.6774 0.6774 0.6774
Be 0.6774 0.3226 0.3226
Be 0.1774 0.8226 0.8226
Be 0.8226 0.8226 0.1774
Be 0.1774 0.1774 0.1774

Results
For the formation energy, the calculation gives 1603 meV per atom. The calculation puts the calculated volume at 517.7 Å³/cell. The value obtained for the density of states at the Fermi level is 13.02 states/eV/cell.